1.
A plane-wave DFT calculation with PBE was carried out for a relaxed structure of Tb15PrHo4.

Summary:
Total energy   -0.3388 Ry per atom
Calculated density   8.28 Mg/m³
Crystal system   tetragonal

```
data_Tb15PrHo4
_chemical_formula_sum 'Tb15 Pr1 Ho4'
_cell_length_a 5.036
_cell_length_b 5.036
_cell_length_c 25.193
_cell_angle_alpha 90.00
_cell_angle_beta 90.00
_cell_angle_gamma 90.00
_space_group_name_H-M_alt 'P 4/m m m'
_space_group_IT_number 123
_space_group_name_Hall '-P 4 2'
loop_
_atom_site_label
_atom_site_type_symbol
_atom_site_fract_x
_atom_site_fract_y
_atom_site_fract_z
Tb1 Tb 0.000 0.000 0.000
Tb2 Tb 0.000 0.000 0.202
Tb3 Tb 0.000 0.000 0.401
Tb4 Tb 0.000 0.500 0.102
Tb5 Tb 0.000 0.500 0.301
Tb6 Tb 0.000 0.500 0.500
Pr1 Pr 0.500 0.500 0.000
Ho1 Ho 0.500 0.500 0.201
Ho2 Ho 0.500 0.500 0.401
```

2.
A plane-wave DFT calculation with PBE was carried out for a relaxed structure of Tb2Pr7Ho2.

Summary:
Total energy   -0.3395 Ry per atom
Calculated density   7.00 Mg/m³
Crystal system   monoclinic

```
data_Tb2Pr7Ho2
_chemical_formula_sum 'Tb4 Pr14 Ho4'
_cell_length_a 9.297
_cell_length_b 9.646
_cell_length_c 8.802
_cell_angle_alpha 90.00
_cell_angle_beta 100.84
_cell_angle_gamma 90.00
_space_group_name_H-M_alt 'C 1 2/m 1'
_space_group_IT_number 12
loop_
_space_group_symop_operation_xyz
'x,y,z'
'-x,-y,-z'
'-x,y,-z'
'x,-y,z'
'x+1/2,y+1/2,z'
'-x+1/2,-y+1/2,-z'
'-x+1/2,y+1/2,-z'
'x+1/2,-y+1/2,z'
loop_
_atom_site_label
_atom_site_type_symbol
_atom_site_fract_x
_atom_site_fract_y
_atom_site_fract_z
Tb1 Tb 0.000 0.176 0.000
Pr1 Pr 0.000 0.500 0.500
Pr2 Pr 0.156 0.500 0.915
Pr3 Pr 0.229 0.185 0.703
Ho1 Ho 0.108 0.000 0.355
```

3.
A plane-wave DFT calculation with PBE was carried out for a relaxed structure of Tb3Pr2Ho7.

Summary:
Total energy   -0.3339 Ry per atom
Calculated density   8.19 Mg/m³
Crystal system   monoclinic

```
data_Tb3Pr2Ho7
_chemical_formula_sum 'Tb3 Pr2 Ho7'
_cell_length_a 6.339
_cell_length_b 3.520
_cell_length_c 17.485
_cell_angle_alpha 90.00
_cell_angle_beta 96.17
_cell_angle_gamma 90.00
_space_group_name_H-M_alt 'P 1 2/m 1'
_space_group_IT_number 10
loop_
_space_group_symop_operation_xyz
'x,y,z'
'-x,-y,-z'
'-x,y,-z'
'x,-y,z'
loop_
_atom_site_label
_atom_site_type_symbol
_atom_site_fract_x
_atom_site_fract_y
_atom_site_fract_z
Tb1 Tb 0.000 0.000 0.000
Tb2 Tb 0.048 0.500 0.658
Pr1 Pr 0.441 0.000 0.326
Ho1 Ho 0.224 0.500 0.162
Ho2 Ho 0.244 0.000 0.501
Ho3 Ho 0.273 0.000 0.835
Ho4 Ho 0.500 0.500 0.000
```

4.
A plane-wave DFT calculation with PBE was carried out for a relaxed structure of Tb3Pr5Ho.

Summary:
Total energy   -0.3115 Ry per atom
Calculated density   6.49 Mg/m³
Crystal system   monoclinic

```
data_Tb3Pr5Ho
_chemical_formula_sum 'Tb12 Pr20 Ho4'
_cell_length_a 11.977
_cell_length_b 11.936
_cell_length_c 10.018
_cell_angle_alpha 90.00
_cell_angle_beta 105.79
_cell_angle_gamma 90.00
_space_group_name_H-M_alt 'C 1 2/m 1'
_space_group_IT_number 12
loop_
_space_group_symop_operation_xyz
'x,y,z'
'-x,-y,-z'
'-x,y,-z'
'x,-y,z'
'x+1/2,y+1/2,z'
'-x+1/2,-y+1/2,-z'
'-x+1/2,y+1/2,-z'
'x+1/2,-y+1/2,z'
loop_
_atom_site_label
_atom_site_type_symbol
_atom_site_fract_x
_atom_site_fract_y
_atom_site_fract_z
Tb1 Tb 0.000 0.000 0.000
Tb2 Tb 0.000 0.000 0.324
Tb3 Tb 0.000 0.500 0.500
Tb4 Tb 0.008 0.500 0.839
Pr1 Pr 0.000 0.247 0.500
Pr2 Pr 0.154 0.250 0.149
Pr3 Pr 0.242 0.000 0.918
Pr4 Pr 0.249 0.000 0.581
Ho1 Ho 0.238 0.500 0.734
```

5.
A plane-wave DFT calculation with PBE was carried out for a relaxed structure of Tb7Pr3Ho2.

Summary:
Total energy   -0.3218 Ry per atom
Calculated density   7.36 Mg/m³
Crystal system   trigonal

```
data_Tb7Pr3Ho2
_chemical_formula_sum 'Tb21 Pr9 Ho6'
_cell_length_a 6.5336
_cell_length_b 6.5336
_cell_length_c 34.1510
_cell_angle_alpha 90.00
_cell_angle_beta 90.00
_cell_angle_gamma 120.00
_space_group_name_H-M_alt 'R -3 m'
_space_group_IT_number 166
_space_group_name_Hall '-R 3 2"'
loop_
_atom_site_label
_atom_site_type_symbol
_atom_site_fract_x
_atom_site_fract_y
_atom_site_fract_z
Tb1 Tb 0.0000 0.0000 0.0000
Tb2 Tb 0.0011 0.5005 0.4165
Pr1 Pr 0.0000 0.0000 0.3444
Pr2 Pr 0.0000 0.0000 0.5000
Ho1 Ho 0.0000 0.0000 0.1667
```

6.
A plane-wave DFT calculation with PBE was carried out for a relaxed structure of Tb4Pr3Ho.

Summary:
Total energy   -0.3420 Ry per atom
Calculated density   7.51 Mg/m³
Crystal system   orthorhombic

```
data_Tb4Pr3Ho
_chemical_formula_sum 'Tb8 Pr6 Ho2'
_cell_length_a 11.605
_cell_length_b 7.355
_cell_length_c 6.335
_cell_angle_alpha 90.00
_cell_angle_beta 90.00
_cell_angle_gamma 90.00
_space_group_name_H-M_alt 'P m n 21'
_space_group_IT_number 31
loop_
_space_group_symop_operation_xyz
'x,y,z'
'-x+1/2,-y,z+1/2'
'-x,y,z'
'x+1/2,-y,z+1/2'
loop_
_atom_site_label
_atom_site_type_symbol
_atom_site_fract_x
_atom_site_fract_y
_atom_site_fract_z
Tb1 Tb 0.000 0.121 0.000
Tb2 Tb 0.000 0.877 0.500
Tb3 Tb 0.248 0.122 0.333
Pr1 Pr 0.000 0.627 0.999
Pr2 Pr 0.250 0.374 0.834
Ho1 Ho 0.000 0.370 0.497
```